Record 1
# SrOs3Pt | Alexandria | GGA-PBE | relaxed
# Uncorrected energy: -6.435 eV/atom
# Energy of formation: 1.8479 eV per atom
data_SrOs3Pt
_chemical_formula_sum 'Sr1 Os3 Pt1'
_cell_length_a 4.8566
_cell_length_b 4.8566
_cell_length_c 4.8566
_cell_angle_alpha 90.00
_cell_angle_beta 90.00
_cell_angle_gamma 90.00
_symmetry_space_group_name_H-M 'P 1'
_symmetry_Int_Tables_number 1
_symmetry_space_group_name_Hall 'P 1'
loop_
_atom_site_label
_atom_site_fract_x
_atom_site_fract_y
_atom_site_fract_z
Sr1 0.5000 0.5000 0.5000
Os1 0.0000 0.5000 0.0000
Os2 0.0000 0.0000 0.5000
Os3 0.5000 0.0000 0.0000
Pt1 0.0000 0.0000 0.0000

Record 2
# SrOs4Pt | Alexandria | GGA-PBE | relaxed
# Uncorrected energy: -8.097 eV/atom
# Energy of formation: 0.6763 eV per atom
data_SrOs4Pt
_chemical_formula_sum 'Sr1 Os4 Pt1'
_cell_length_a 5.2998
_cell_length_b 5.2998
_cell_length_c 5.2998
_cell_angle_alpha 60.00
_cell_angle_beta 60.00
_cell_angle_gamma 60.00
_symmetry_space_group_name_H-M 'P 1'
_symmetry_Int_Tables_number 1
_symmetry_space_group_name_Hall 'P 1'
loop_
_atom_site_label
_atom_site_fract_x
_atom_site_fract_y
_atom_site_fract_z
Sr1 0.0000 0.0000 0.0000
Os1 0.8701 0.3766 0.3766
Os2 0.3766 0.3766 0.8701
Os3 0.3766 0.8701 0.3766
Os4 0.3766 0.3766 0.3766
Pt1 0.7500 0.7500 0.7500

Record 3
# Sr2OsPt | Alexandria | GGA-PBE | relaxed
# Uncorrected energy: -4.970 eV/atom
# Energy of formation: 0.1887 eV per atom
data_Sr2OsPt
_chemical_formula_sum 'Sr2 Os1 Pt1'
_cell_length_a 6.0710
_cell_length_b 6.0710
_cell_length_c 5.5620
_cell_angle_alpha 73.18
_cell_angle_beta 73.18
_cell_angle_gamma 29.05
_symmetry_space_group_name_H-M 'P 1'
_symmetry_Int_Tables_number 1
_symmetry_space_group_name_Hall 'P 1'
loop_
_atom_site_label
_atom_site_fract_x
_atom_site_fract_y
_atom_site_fract_z
Os1 0.5401 0.5401 0.5273
Pt1 0.2094 0.2094 0.2248
Sr1 0.9715 0.9715 0.0648
Sr2 0.7790 0.7790 0.6831

Record 4
# Sr2OsPt | Alexandria | GGA-PBE | relaxed
# Uncorrected energy: -4.763 eV/atom
# Energy of formation: 0.3955 eV per atom
data_Sr2OsPt
_chemical_formula_sum 'Sr2 Os1 Pt1'
_cell_length_a 5.1522
_cell_length_b 5.1522
_cell_length_c 5.1522
_cell_angle_alpha 60.00
_cell_angle_beta 60.00
_cell_angle_gamma 60.00
_symmetry_space_group_name_H-M 'P 1'
_symmetry_Int_Tables_number 1
_symmetry_space_group_name_Hall 'P 1'
loop_
_atom_site_label
_atom_site_fract_x
_atom_site_fract_y
_atom_site_fract_z
Sr1 0.2500 0.2500 0.2500
Sr2 0.7500 0.7500 0.7500
Os1 0.0000 0.0000 0.0000
Pt1 0.5000 0.5000 0.5000